Entry 1:
Nd5Si2Bi2 | PBE | relaxed

Lattice parameters (Å, degrees): 15.8785 8.1686 8.1961 90.00 90.00 90.00
Last column: nearest neighbours and their distance in Å.
Space group Cmce (No. 64)
Asymmetric unit:
Nd (0.0000, 0.0000, 0.0000) (multiplicity 4)  4 Si 3.26-3.27, 2 Bi 3.32, 8 Nd 3.62-3.63
Nd (0.1253, 0.1728, 0.3275) (multiplicity 16)  3 Si 3.12-3.14, 3 Bi 3.30-3.31
Si (0.0000, 0.1195, 0.6190) (multiplicity 8)  1 Si 2.76
Bi (0.2089, 0.0000, 0.0000) (multiplicity 8)  7 Nd 3.30-3.32

Calculated values
The raw formation energy comes out at -0.786 eV/atom.


Entry 2:
Nd2SiBi | PBE | relaxed

Lattice parameters (Å, degrees): 4.3491 4.3491 22.5453 90.00 90.00 120.00
Last column: nearest neighbours and their distance in Å.
Space group R-3m (No. 166, hexagonal axes)
Asymmetric unit:
Nd (0.0000, 0.0000, 0.2416) (multiplicity 6)  3 Si 3.03, 3 Bi 3.25
Si (0.0000, 0.0000, 0.5000) (multiplicity 3)  6 Nd 3.03
Bi (0.0000, 0.0000, 0.0000) (multiplicity 3)  6 Nd 3.25

Calculated values
The raw formation energy comes out at -0.689 eV/atom.


Entry 3:
Nd5SiBi4 | PBE | relaxed

Lattice parameters (Å, degrees): 10.1492 10.1492 6.4341 90.00 90.00 90.00
Last column: nearest neighbours and their distance in Å.
Space group I4/m (No. 87)
Asymmetric unit:
Nd (0.0000, 0.0000, 0.0000) (multiplicity 2)  2 Si 3.22, 4 Bi 3.22
Nd (0.0973, 0.7157, 0.5000) (multiplicity 8)  1 Si 3.05, 5 Bi 3.22-3.30
Si (0.0000, 0.0000, 0.5000) (multiplicity 2)  6 Nd 3.05-3.22
Bi (0.0939, 0.6966, 0.0000) (multiplicity 8)  6 Nd 3.22-3.30

Calculated values
The raw formation energy comes out at -0.834 eV/atom.